YCr4Pb | PBE | relaxed

energy: -0.5663 Ry/atom
ΔH_f (0 K): 2.44 eV/f.u.

a = 5.140 Å, b = 5.140 Å, c = 5.140 Å
α = 60.00°, β = 60.00°, γ = 60.00°
Sites, in units of the cell vectors:
Y 0.000 0.000 0.000
Cr 0.870 0.377 0.377
Cr 0.377 0.377 0.870
Cr 0.377 0.870 0.377
Cr 0.377 0.377 0.377
Pb 0.750 0.750 0.750